FeCuReB (GGA-PBE, relaxed); energy = -7.291 eV/atom; mass density = 12.0 g/cm3; E above lowest polymorph = 22 meV per atom; magnetization = 0.477 μB per atom
1.0
-0.002 -0.930 3.846
-2.404 -2.840 1.348
1.501 -3.459 1.200
Cu Re B Fe
1 1 1 1
Cartesian
-0.453 -3.615 3.197
-0.226 -1.807 1.598
0.000 0.000 0.000
-0.679 -5.422 4.795

***

ZrTaInNi (GGA-PBE, relaxed); energy = -6.905 eV/atom; mass density = 9.9 g/cm3; magnetization = 0.599 μB per atom
1.0
0.000 3.339 3.339
3.339 0.000 3.339
3.339 3.339 0.000
Ni Ta Zr In
1 1 1 1
Cartesian
5.009 5.009 5.009
1.670 1.670 1.670
3.339 3.339 3.339
0.000 0.000 0.000

***

Ag2As2O5 (GGA-PBE, relaxed); energy = -4.902 eV/atom; mass density = 6.6 g/cm3; E above lowest polymorph = 0 meV per atom
1.0
-5.371 3.832 -3.938
-2.611 -0.953 2.633
0.824 3.179 1.968
O Ag As
5 2 2
Cartesian
-3.748 4.557 -2.066
-3.579 3.029 0.332
-0.799 2.453 0.096
-5.465 2.491 -1.734
-2.517 0.387 0.428
0.000 0.000 0.000
-2.686 1.916 -1.969
-4.866 3.947 -0.612
-2.292 2.110 1.275

***

> What is the mass density in the first record?

12.0 g/cm3